Density functional theory data (PBE) for a relaxed structure of Ta8Ti. Values from VASP.

Structure (Quantum ESPRESSO input):
```
&SYSTEM
  ibrav = 0, nat = 9, ntyp = 2
/
ATOMIC_SPECIES
Ta 180.95 Ta.upf
Ti 47.87 Ti.upf
CELL_PARAMETERS angstrom
3.239 0.000 0.748
1.620 7.000 0.374
0.045 0.000 7.194
ATOMIC_POSITIONS crystal
Ta 0.668 0.332 0.332
Ta 0.000 0.332 0.668
Ta 0.333 0.333 0.000
Ta 0.667 0.667 0.000
Ta 0.667 0.000 0.667
Ta 0.000 0.668 0.332
Ta 0.333 0.000 0.333
Ta 0.332 0.668 0.668
Ti 0.000 0.000 0.000
```

Summary:
V (Å³/cell): 162.9
Final energy (eV/atom): -11.387
Total magnetization (μB per cell): 0.000
DFT formation energy (eV per atom): 0.026
Crystal system: tetragonal
SG: I4/mmm